(1)
Below is crystalline Hf2H2Rh at its relaxed geometry, with properties calculated at the PBE-GGA level.

POSCAR file:
```
Hf2H2Rh
1.0
-0.633 -0.299 3.051
-0.008 -3.115 -0.307
6.340 -0.145 1.301
Hf H Rh
2 2 1
Cartesian
4.336 -1.813 2.328 Hf
1.363 -1.745 1.718 Hf
2.853 -0.222 2.176 H
3.166 -1.630 0.497 H
0.000 0.000 0.000 Rh
```

Output
- energy above the lowest structure with this stoichiometry (meV per atom) = 17
- size of the total moment (μB per cell) = 0.0
- space-group type = P4/mmm (123)

***

(2)
Below is crystalline Sm5ScSi4 at its relaxed geometry, with properties calculated at the PBE-GGA level.

POSCAR file:
```
Sm5ScSi4
1.0
-1.667 -4.554 0.732
4.375 -2.347 -4.639
1.832 3.534 9.730
Sm Sc Si
5 1 4
Cartesian
2.789 -3.024 3.974 Sm
0.614 -1.847 6.343 Sm
3.926 -1.521 -0.519 Sm
1.354 -3.451 -1.953 Sm
1.750 -0.344 1.849 Sm
-0.834 -2.277 0.366 Sc
4.602 -1.299 2.402 Si
3.470 -2.819 6.799 Si
-0.063 -2.069 3.421 Si
1.070 -0.548 -0.976 Si
```

Output
- formation energy from raw total energies (eV per formula unit) = -4.92
- size of the total moment (μB per cell) = 0.0
- space-group type = C2/m (12)

***

| no. | theoretical density (g/cm3) |
| --- | --- |
| 1 | 12.09 |
| 2 | 5.86 |